[1]
Below is a relaxed structure of VBS2, with properties calculated at the PBE-GGA level.

a = 5.795 Å, b = 3.145 Å, c = 6.343 Å
α = 90.00°, β = 102.92°, γ = 90.00°
Space group P2_1/m (No. 11)
One atom of each set of equivalent atoms:
V1 0.199 0.250 0.494 x2
B1 0.429 0.750 0.011 x2
S1 0.164 0.750 0.757 x2
S2 0.380 0.750 0.298 x2

Results
Uncorrected formation energy ... -2.25 eV/f.u.
Spin magnetization ... 0.0 μB per formula unit
V ... 113 Å³ per cell

=====

[2]
Below is a relaxed structure of V3BS, with properties calculated at the PBE-GGA level.

a = 4.008 Å, b = 4.008 Å, c = 4.008 Å
α = 90.00°, β = 90.00°, γ = 90.00°
Space group Pm-3m (No. 221)
One atom of each set of equivalent atoms:
V1 0.000 0.000 0.500 x3
B1 0.000 0.000 0.000 x1
S1 0.500 0.500 0.500 x1

Results
Polymorph energy (0 for the lowest one) ... 0 meV per atom
Uncorrected formation energy ... 1.08 eV/f.u.
Spin magnetization ... 0.0 μB per formula unit
V ... 64 Å³ per cell

=====

[3]
Below is a relaxed structure of VB3S, with properties calculated at the PBE-GGA level.

a = 3.758 Å, b = 3.758 Å, c = 3.758 Å
α = 90.00°, β = 90.00°, γ = 90.00°
Space group Pm-3m (No. 221)
One atom of each set of equivalent atoms:
V1 0.000 0.000 0.000 x1
B1 0.000 0.500 0.500 x3
S1 0.500 0.500 0.500 x1

Results
Polymorph energy (0 for the lowest one) ... 0 meV per atom
Uncorrected formation energy ... 8.21 eV/f.u.
Spin magnetization ... 1.1 μB per formula unit
V ... 53 Å³ per cell

=====

What did the first record say?
Below is a relaxed structure of VBS2, with properties calculated at the PBE-GGA level.

a = 5.795 Å, b = 3.145 Å, c = 6.343 Å
α = 90.00°, β = 102.92°, γ = 90.00°
Space group P2_1/m (No. 11)
One atom of each set of equivalent atoms:
V1 0.199 0.250 0.494 x2
B1 0.429 0.750 0.011 x2
S1 0.164 0.750 0.757 x2
S2 0.380 0.750 0.298 x2

Results
Uncorrected formation energy ... -2.25 eV/f.u.
Spin magnetization ... 0.0 μB per formula unit
V ... 113 Å³ per cell

=====

Which value of spin magnetization does entry 1 give? 0.0 μB per formula unit